1.
# La3Dy4YSe8 (PBE, optimized geometry)
data_La3Dy4YSe8
_chemical_formula_sum 'La3 Dy4 Y1 Se8'
_symmetry_space_group_name_H-M 'P 1'
_symmetry_Int_Tables_number 1
_cell_length_a 8.307
_cell_length_b 8.366
_cell_length_c 8.307
_cell_angle_alpha 119.77
_cell_angle_beta 120.00
_cell_angle_gamma 90.00
loop_
_symmetry_equiv_pos_as_xyz
'x,y,z'
loop_
_atom_site_label
_atom_site_fract_x
_atom_site_fract_y
_atom_site_fract_z
Dy1 0.500 0.000 0.500
Dy2 0.500 0.000 0.000
Dy3 0.000 0.000 0.000
Dy4 0.000 0.000 0.500
Y1 0.000 0.500 0.000
Se1 0.749 0.237 0.499
Se2 0.749 0.237 0.988
Se3 0.238 0.237 0.988
Se4 0.756 0.769 0.513
Se5 0.762 0.763 0.012
Se6 0.244 0.231 0.487
Se7 0.251 0.763 0.501
Se8 0.251 0.763 0.012
La1 0.500 0.500 0.500
La2 0.500 0.500 0.000
La3 0.000 0.500 0.500
# - Spin magnetization: 0.000 μB per atom
# - DFT total energy: -97.0 eV per cell
# - Volume: 25.60 Å³/atom

---

2.
# La2Dy3Si4 (PBE, optimized geometry)
data_La2Dy3Si4
_chemical_formula_sum 'La4 Dy6 Si8'
_symmetry_space_group_name_H-M 'P 1'
_symmetry_Int_Tables_number 1
_cell_length_a 7.576
_cell_length_b 7.813
_cell_length_c 7.872
_cell_angle_alpha 90.00
_cell_angle_beta 90.00
_cell_angle_gamma 106.89
loop_
_symmetry_equiv_pos_as_xyz
'x,y,z'
loop_
_atom_site_label
_atom_site_fract_x
_atom_site_fract_y
_atom_site_fract_z
Dy1 0.746 0.754 0.320
Dy2 0.500 0.500 0.000
Dy3 0.246 0.754 0.180
Dy4 0.000 0.500 0.500
Dy5 0.754 0.246 0.820
Dy6 0.254 0.246 0.680
Si1 0.124 0.505 0.882
Si2 0.880 0.078 0.531
Si3 0.876 0.495 0.118
Si4 0.620 0.922 0.031
Si5 0.380 0.078 0.969
Si6 0.624 0.505 0.618
Si7 0.376 0.495 0.382
Si8 0.120 0.922 0.469
La1 0.418 0.802 0.676
La2 0.582 0.198 0.324
La3 0.918 0.802 0.824
La4 0.082 0.198 0.176
# - Spin magnetization: 0.000 μB per atom
# - DFT total energy: -104.5 eV per cell
# - Volume: 24.77 Å³/atom

---

3.
# La2DySi2 (PBE, optimized geometry)
data_La2DySi2
_chemical_formula_sum 'La4 Dy2 Si4'
_symmetry_space_group_name_H-M 'P 1'
_symmetry_Int_Tables_number 1
_cell_length_a 4.515
_cell_length_b 7.694
_cell_length_c 7.694
_cell_angle_alpha 90.00
_cell_angle_beta 90.00
_cell_angle_gamma 90.00
loop_
_symmetry_equiv_pos_as_xyz
'x,y,z'
loop_
_atom_site_label
_atom_site_fract_x
_atom_site_fract_y
_atom_site_fract_z
Si1 0.000 0.887 0.613
Si2 0.000 0.387 0.887
Si3 0.000 0.613 0.113
Si4 0.000 0.113 0.387
Dy1 0.000 0.000 0.000
Dy2 0.000 0.500 0.500
La1 0.500 0.822 0.322
La2 0.500 0.178 0.678
La3 0.500 0.322 0.178
La4 0.500 0.678 0.822
# - Spin magnetization: 0.000 μB per atom
# - Energy relative to the lowest polymorph listed for this composition: 0 meV per atom
# - Volume: 26.73 Å³/atom

---

4.
# La3DySi4 (PBE, optimized geometry)
data_La3DySi4
_chemical_formula_sum 'La3 Dy1 Si4'
_symmetry_space_group_name_H-M 'P 1'
_symmetry_Int_Tables_number 1
_cell_length_a 4.291
_cell_length_b 6.343
_cell_length_c 9.059
_cell_angle_alpha 110.49
_cell_angle_beta 103.70
_cell_angle_gamma 90.00
loop_
_symmetry_equiv_pos_as_xyz
'x,y,z'
loop_
_atom_site_label
_atom_site_fract_x
_atom_site_fract_y
_atom_site_fract_z
Si1 0.372 0.557 0.744
Si2 0.628 0.443 0.256
Si3 0.372 0.187 0.744
Si4 0.628 0.813 0.256
La1 0.195 0.195 0.391
La2 0.000 0.500 0.000
La3 0.805 0.805 0.609
Dy1 0.500 0.000 0.000
# - Spin magnetization: 0.074 μB per atom
# - DFT total energy: -45.6 eV per cell
# - Volume: 27.93 Å³/atom

---

5.
# LaDy2Si6 (PBE, optimized geometry)
data_LaDy2Si6
_chemical_formula_sum 'La1 Dy2 Si6'
_symmetry_space_group_name_H-M 'P 1'
_symmetry_Int_Tables_number 1
_cell_length_a 4.039
_cell_length_b 7.148
_cell_length_c 7.148
_cell_angle_alpha 120.00
_cell_angle_beta 90.00
_cell_angle_gamma 90.00
loop_
_symmetry_equiv_pos_as_xyz
'x,y,z'
loop_
_atom_site_label
_atom_site_fract_x
_atom_site_fract_y
_atom_site_fract_z
Si1 0.500 0.000 0.662
Si2 0.500 0.662 0.000
Si3 0.500 0.662 0.662
Si4 0.500 0.338 0.338
Si5 0.500 0.338 0.000
Si6 0.500 0.000 0.338
La1 0.000 0.000 0.000
Dy1 0.000 0.333 0.667
Dy2 0.000 0.667 0.333
# - Spin magnetization: 0.000 μB per atom
# - DFT total energy: -51.8 eV per cell
# - Volume: 19.86 Å³/atom

---

6.
# La2DySi2 (PBE, optimized geometry)
data_La2DySi2
_chemical_formula_sum 'La4 Dy2 Si4'
_symmetry_space_group_name_H-M 'P 1'
_symmetry_Int_Tables_number 1
_cell_length_a 4.427
_cell_length_b 6.685
_cell_length_c 10.088
_cell_angle_alpha 78.92
_cell_angle_beta 77.33
_cell_angle_gamma 70.66
loop_
_symmetry_equiv_pos_as_xyz
'x,y,z'
loop_
_atom_site_label
_atom_site_fract_x
_atom_site_fract_y
_atom_site_fract_z
La1 0.485 0.342 0.688
La2 0.321 0.267 0.091
La3 0.515 0.658 0.312
La4 0.679 0.733 0.909
Dy1 0.226 0.917 0.632
Dy2 0.774 0.083 0.368
Si1 0.891 0.666 0.553
Si2 0.006 0.881 0.106
Si3 0.994 0.119 0.894
Si4 0.109 0.334 0.447
# - Spin magnetization: 0.000 μB per atom
# - Energy relative to the lowest polymorph listed for this composition: 49 meV per atom
# - Volume: 27.25 Å³/atom

---

7.
# LaDySi2 (PBE, optimized geometry)
data_LaDySi2
_chemical_formula_sum 'La2 Dy2 Si4'
_symmetry_space_group_name_H-M 'P 1'
_symmetry_Int_Tables_number 1
_cell_length_a 3.933
_cell_length_b 5.882
_cell_length_c 8.193
_cell_angle_alpha 90.00
_cell_angle_beta 90.00
_cell_angle_gamma 90.00
loop_
_symmetry_equiv_pos_as_xyz
'x,y,z'
loop_
_atom_site_label
_atom_site_fract_x
_atom_site_fract_y
_atom_site_fract_z
Si1 0.500 0.860 0.466
Si2 0.000 0.382 0.036
Si3 0.500 0.140 0.966
Si4 0.000 0.618 0.536
La1 0.000 0.133 0.679
La2 0.000 0.867 0.179
Dy1 0.500 0.366 0.318
Dy2 0.500 0.634 0.818
# - Spin magnetization: 0.000 μB per atom
# - Energy relative to the lowest polymorph listed for this composition: 0 meV per atom
# - Volume: 23.69 Å³/atom

---

8.
# LaDySi3 (PBE, optimized geometry)
data_LaDySi3
_chemical_formula_sum 'La2 Dy2 Si6'
_symmetry_space_group_name_H-M 'P 1'
_symmetry_Int_Tables_number 1
_cell_length_a 3.976
_cell_length_b 4.371
_cell_length_c 12.551
_cell_angle_alpha 100.03
_cell_angle_beta 90.00
_cell_angle_gamma 90.00
loop_
_symmetry_equiv_pos_as_xyz
'x,y,z'
loop_
_atom_site_label
_atom_site_fract_x
_atom_site_fract_y
_atom_site_fract_z
Dy1 0.750 0.203 0.405
Dy2 0.250 0.797 0.595
Si1 0.250 0.475 0.949
Si2 0.750 0.621 0.243
Si3 0.250 0.679 0.359
Si4 0.250 0.379 0.757
Si5 0.750 0.321 0.641
Si6 0.750 0.525 0.051
La1 0.750 0.929 0.858
La2 0.250 0.071 0.142
# - Spin magnetization: 0.000 μB per atom
# - DFT total energy: -59.0 eV per cell
# - Volume: 21.48 Å³/atom

---

9.
# LaDy4Si4 (PBE, optimized geometry)
data_LaDy4Si4
_chemical_formula_sum 'La2 Dy8 Si8'
_symmetry_space_group_name_H-M 'P 1'
_symmetry_Int_Tables_number 1
_cell_length_a 5.711
_cell_length_b 9.308
_cell_length_c 9.308
_cell_angle_alpha 90.00
_cell_angle_beta 90.00
_cell_angle_gamma 90.00
loop_
_symmetry_equiv_pos_as_xyz
'x,y,z'
loop_
_atom_site_label
_atom_site_fract_x
_atom_site_fract_y
_atom_site_fract_z
Dy1 0.622 0.889 0.646
Dy2 0.878 0.611 0.854
Dy3 0.378 0.354 0.889
Dy4 0.878 0.389 0.146
Dy5 0.122 0.854 0.389
Dy6 0.622 0.111 0.354
Dy7 0.378 0.646 0.111
Dy8 0.122 0.146 0.611
Si1 0.116 0.839 0.701
Si2 0.616 0.201 0.661
Si3 0.884 0.299 0.839
Si4 0.116 0.161 0.299
Si5 0.884 0.701 0.161
Si6 0.384 0.339 0.201
Si7 0.616 0.799 0.339
Si8 0.384 0.661 0.799
La1 0.000 0.000 0.000
La2 0.500 0.500 0.500
# - Spin magnetization: 0.000 μB per atom
# - DFT total energy: -98.9 eV per cell
# - Volume: 27.49 Å³/atom

---

10.
# LaDy2Si4 (PBE, optimized geometry)
data_LaDy2Si4
_chemical_formula_sum 'La1 Dy2 Si4'
_symmetry_space_group_name_H-M 'P 1'
_symmetry_Int_Tables_number 1
_cell_length_a 3.909
_cell_length_b 4.376
_cell_length_c 9.272
_cell_angle_alpha 103.65
_cell_angle_beta 102.17
_cell_angle_gamma 90.00
loop_
_symmetry_equiv_pos_as_xyz
'x,y,z'
loop_
_atom_site_label
_atom_site_fract_x
_atom_site_fract_y
_atom_site_fract_z
Si1 0.932 0.432 0.864
Si2 0.349 0.349 0.699
Si3 0.651 0.651 0.301
Si4 0.068 0.568 0.136
Dy1 0.183 0.183 0.366
Dy2 0.817 0.817 0.634
La1 0.500 0.000 0.000
# - Spin magnetization: 0.000 μB per atom
# - DFT total energy: -41.3 eV per cell
# - Volume: 21.49 Å³/atom

---

11.
# LaDySi2 (PBE, optimized geometry)
data_LaDySi2
_chemical_formula_sum 'La1 Dy1 Si2'
_symmetry_space_group_name_H-M 'P 1'
_symmetry_Int_Tables_number 1
_cell_length_a 4.445
_cell_length_b 3.910
_cell_length_c 5.897
_cell_angle_alpha 90.00
_cell_angle_beta 112.12
_cell_angle_gamma 90.00
loop_
_symmetry_equiv_pos_as_xyz
'x,y,z'
loop_
_atom_site_label
_atom_site_fract_x
_atom_site_fract_y
_atom_site_fract_z
Si1 0.158 0.500 0.854
Si2 0.014 0.000 0.567
La1 0.441 0.500 0.420
Dy1 0.719 0.000 0.977
# - Spin magnetization: 0.000 μB per atom
# - Energy relative to the lowest polymorph listed for this composition: 3 meV per atom
# - Volume: 23.73 Å³/atom

---

12.
# LaDy2Zn2Si2 (PBE, optimized geometry)
data_LaDy2Zn2Si2
_chemical_formula_sum 'La1 Dy2 Zn2 Si2'
_symmetry_space_group_name_H-M 'P 1'
_symmetry_Int_Tables_number 1
_cell_length_a 4.111
_cell_length_b 4.111
_cell_length_c 11.646
_cell_angle_alpha 79.83
_cell_angle_beta 79.83
_cell_angle_gamma 60.00
loop_
_symmetry_equiv_pos_as_xyz
'x,y,z'
loop_
_atom_site_label
_atom_site_fract_x
_atom_site_fract_y
_atom_site_fract_z
Dy1 0.876 0.876 0.371
Dy2 0.124 0.124 0.629
Si1 0.733 0.733 0.800
Si2 0.267 0.267 0.200
Zn1 0.602 0.602 0.194
Zn2 0.398 0.398 0.806
La1 0.000 0.000 0.000
# - Spin magnetization: 0.000 μB per atom
# - DFT total energy: -30.7 eV per cell
# - Volume: 23.84 Å³/atom